Material: ZrAg2P
Method: DFT, PBE
State: optimized geometry

Cell: 3.5069 3.5069 6.2801 Å, 90.00 90.00 90.00°
Positions (direct):
Zr (0.0000, 0.0000, 0.0000)
Ag (0.0000, 0.0000, 0.5126)
Ag (0.5000, 0.5000, 0.3012)
P (0.5000, 0.5000, 0.8613)

Computed properties:
* SG: No. 99

---

Material: Ti7NbSb2
Method: DFT, PBE
State: optimized geometry

Cell: 6.6794 6.6794 6.6794 Å, 60.00 60.00 60.00°
Positions (direct):
Ti (0.0000, 0.0000, 0.0000)
Ti (0.2458, 0.2458, 0.7542)
Ti (0.2458, 0.7542, 0.2458)
Ti (0.2458, 0.7542, 0.7542)
Ti (0.7542, 0.2458, 0.2458)
Ti (0.7542, 0.2458, 0.7542)
Ti (0.7542, 0.7542, 0.2458)
Nb (0.5000, 0.5000, 0.5000)
Sb (0.2500, 0.2500, 0.2500)
Sb (0.7500, 0.7500, 0.7500)

Computed properties:
* raw formation energy: 0.70 eV/atom
* SG: No. 225

---

Material: Sc2TaRh
Method: DFT, PBE
State: optimized geometry

Cell: 5.3441 5.3441 2.9784 Å, 99.84 99.84 114.28°
Positions (direct):
Sc (0.0000, 0.5000, 0.0000)
Sc (0.5000, 0.0000, 0.0000)
Ta (0.0000, 0.0000, 0.5000)
Rh (0.5000, 0.5000, 0.5000)

Computed properties:
* SG: No. 12
* excess energy over the best structure of this formula in the dataset: 0.237 eV/atom

---

Number 1: energy -5.184 eV/atom, mass density 7266 kg/m3, Fermi-level density of states 2.561 states/eV/cell. Number 2: energy -6.662 eV/atom, mass density 5292 kg/m3, Fermi-level density of states 14.669 states/eV/cell. Number 3: energy -8.094 eV/atom, mass density 8434 kg/m3, Fermi-level density of states 4.450 states/eV/cell.